No. 1
The following is a GGA-PBE calculation of a relaxed Nd3Ge2Cl crystal, from the Alexandria database.

Results
Size of the total moment (μB/f.u.): 0.00
Volume (A^3/atom): 27.22
D(E_F) (states/eV per cell): 4.870
Final energy (Ha/atom): -0.19714

a b c (Å): 5.996 8.553 12.737
angles (deg): 90.00 90.00 89.99
Fractional coordinates of all 24 atoms:
Ge 0.750 0.132 0.584
Ge 0.251 0.377 0.746
Ge 0.749 0.623 0.254
Ge 0.251 0.877 0.754
Ge 0.749 0.123 0.246
Ge 0.250 0.368 0.084
Ge 0.750 0.632 0.916
Ge 0.250 0.868 0.416
Cl 0.250 0.373 0.415
Cl 0.750 0.127 0.915
Cl 0.250 0.873 0.085
Cl 0.750 0.627 0.585
Nd 0.750 0.861 0.091
Nd 0.750 0.877 0.415
Nd 0.751 0.883 0.752
Nd 0.751 0.383 0.748
Nd 0.750 0.361 0.409
Nd 0.250 0.639 0.591
Nd 0.250 0.623 0.915
Nd 0.249 0.117 0.248
Nd 0.249 0.617 0.252
Nd 0.250 0.139 0.909
Nd 0.750 0.377 0.085
Nd 0.250 0.123 0.585

No. 2
The following is a GGA-PBE calculation of a relaxed HoNiH3 crystal, from the Alexandria database.

Results
Size of the total moment (μB/f.u.): 0.00
Volume (A^3/atom): 9.27
D(E_F) (states/eV per cell): 2.890
Final energy (Ha/atom): -0.16869

a b c (Å): 3.603 4.597 5.883
angles (deg): 92.15 107.85 90.01
Fractional coordinates of all 10 atoms:
Ni 0.643 0.433 0.642
Ni 0.481 0.981 0.318
Ho 0.934 0.467 0.224
Ho 0.201 0.973 0.757
H 0.990 0.983 0.335
H 0.145 0.454 0.644
H 0.593 0.762 0.542
H 0.373 0.725 0.102
H 0.378 0.225 0.112
H 0.759 0.221 0.872

D(E_F) of number 1 (Nd3Ge2Cl)?
4.870 states/eV per cell

D(E_F) of number 1 (Nd3Ge2Cl)?
4.870 states/eV per cell

Look up the size of the total moment of the second one.
0.00 μB/f.u.

Which of these has the lowest D(E_F)?
HoNiH3